# FeP4O12 GGA+U relaxed
# uncorrected energy: -6.98 eV per atom
# calculated volume: 13.72 Å³ per atom
# energy above the most stable polymorph in this dataset: 1.68 kJ/mol of atoms
data_FeP4O12
_chemical_formula_sum 'Fe4 P16 O48'
_space_group_name_H-M_alt 'C 1 2/c 1'
_space_group_IT_number 15
_cell_length_a 8.4174
_cell_length_b 11.8758
_cell_length_c 9.3717
_cell_angle_alpha 90.00
_cell_angle_beta 95.01
_cell_angle_gamma 90.00
loop_
_space_group_symop_operation_xyz
'x,y,z'
'-x,-y,-z'
'-x,y,-z+1/2'
'x,-y,z+1/2'
'x+1/2,y+1/2,z'
'-x+1/2,-y+1/2,-z'
'-x+1/2,y+1/2,-z+1/2'
'x+1/2,-y+1/2,z+1/2'
loop_
_atom_site_label
_atom_site_type_symbol
_atom_site_fract_x
_atom_site_fract_y
_atom_site_fract_z
_atom_site_occupancy
Fe1 Fe 0.0000 0.1097 0.2500 1
P1 P 0.0448 0.3368 0.4706 1
P2 P 0.2423 0.0412 0.9967 1
O1 O 0.0745 0.3037 0.6239 1
O2 O 0.0850 0.2465 0.3648 1
O3 O 0.1321 0.0050 0.3769 1
O4 O 0.1346 0.3773 0.0758 1
O5 O 0.1437 0.4463 0.4268 1
O6 O 0.1721 0.1045 0.1142 1